(1)
Here is an optimized crystal structure of AcAg3Sb3 from Alexandria via LeMat-Bulk. Energies are from GGA-PBE.

Geometry as extended XYZ:
```
14
Lattice="7.869 0.000 0.000 3.935 6.815 0.000 3.935 2.272 7.695" Properties=species:S:1:pos:R:3 pbc="T T T"
Ac 3.935 2.272 0.027
Ac 11.804 6.815 7.668
Ag 9.286 6.663 4.754
Ag 8.997 2.257 4.754
Ag 5.325 4.710 4.754
Ag 10.413 4.377 2.940
Ag 6.742 6.830 2.940
Ag 6.453 2.423 2.940
Sb 5.152 4.741 1.939
Sb 9.056 2.091 1.939
Sb 9.399 6.797 1.939
Sb 6.339 2.289 5.756
Sb 6.682 6.995 5.756
Sb 10.586 4.345 5.756
```

Results
Space group: No. 148
Final energy in eV per cell: -52.40
DOS(E_F) in states/eV/atom: 0.793
Formation energy (no corrections) in eV/f.u.: -1.17



(2)
Here is an optimized crystal structure of AcAg2Sb from Alexandria via LeMat-Bulk. Energies are from GGA-PBE.

Geometry as extended XYZ:
```
4
Lattice="4.045 0.000 0.000 0.000 4.045 0.000 0.000 0.000 6.640" Properties=species:S:1:pos:R:3 pbc="T T T"
Sb 2.022 2.022 0.000
Ac 2.022 2.022 3.320
Ag 0.000 0.000 5.180
Ag 0.000 0.000 1.461
```

Results
Space group: No. 123
Final energy in eV per cell: -14.65
DOS(E_F) in states/eV/atom: 0.687
Formation energy (no corrections) in eV/f.u.: -0.72



(3)
Here is an optimized crystal structure of Ac4Ag5Sb7 from Alexandria via LeMat-Bulk. Energies are from GGA-PBE.

Geometry as extended XYZ:
```
16
Lattice="-4.077 -0.338 4.879 2.958 -5.229 2.110 7.447 9.182 2.703" Properties=species:S:1:pos:R:3 pbc="T T T"
Ac 5.505 6.225 2.990
Ac 4.955 3.491 6.422
Ac -0.628 -0.042 5.667
Ac 2.826 -2.444 4.307
Ag 2.871 0.403 6.581
Ag 3.458 3.212 3.112
Ag 4.923 0.585 4.154
Ag 1.406 3.030 5.539
Ag 0.000 0.000 0.000
Sb 1.472 -2.045 7.350
Sb 2.039 0.779 3.805
Sb 6.358 3.008 3.413
Sb 2.789 5.489 4.818
Sb -0.559 -2.783 3.495
Sb -2.038 -0.169 2.440
Sb 1.479 -2.614 1.055
```

Results
Space group: No. 121
Final energy in eV per cell: -69.82
DOS(E_F) in states/eV/atom: 0.217
Formation energy (no corrections) in eV/f.u.: -10.27



(4)
Here is an optimized crystal structure of AcAgSb2 from Alexandria via LeMat-Bulk. Energies are from GGA-PBE.

Geometry as extended XYZ:
```
4
Lattice="4.687 0.000 0.000 0.000 4.919 0.000 0.000 0.000 4.919" Properties=species:S:1:pos:R:3 pbc="T T T"
Sb 0.000 0.000 2.459
Sb 0.000 2.459 0.000
Ac 2.344 0.000 0.000
Ag 2.344 2.459 2.459
```

Results
Space group: No. 123
Final energy in eV per cell: -17.21
DOS(E_F) in states/eV/atom: 0.700
Formation energy (no corrections) in eV/f.u.: -2.01